Compound: Ca2CoRu
Source: Alexandria via LeMat-Bulk
Functional: PBE-GGA
Structure: relaxed

Lattice parameters (Å, degrees): 3.3083 3.3083 8.3689 90.00 90.00 90.00
Closest atoms and distances in Å follow each position.
Atoms (fractional coordinates):
Ca: 0.0000 0.0000 0.0000  1 Co 2.92, 4 Ru 3.12
Ca: 0.5000 0.5000 0.4060  1 Ru 2.91, 4 Co 3.11
Co: 0.0000 0.0000 0.6510  4 Ru 2.49
Ru: 0.5000 0.5000 0.7536  4 Co 2.49

Values from the calculation:
SG   No. 99
E_form   229 meV per atom